Below is a relaxed CsTl2Hg2Sb2 crystal, with properties calculated at the PBE-GGA level.

Calculated values
V   256 Å³ per cell
Space-group type   R-3m (166)
Raw formation energy   -0.12 eV/atom
M_tot   0.0 Bohr magnetons per cell
Energy   -2.187 eV/atom

Unit cell a=5.4637 b=5.4637 c=10.3919 alpha=74.76 beta=74.76 gamma=60.00
Closest atoms and distances in Å follow each position.
Positions (direct):
Sb (0.7609, 0.7609, 0.7172)  3 Hg 3.16, 4 Tl 3.20-3.34
Cs (0.0000, 0.0000, 0.0000)  2 Tl 3.90, 6 Hg 4.08, 6 Sb 4.22
Hg (0.5794, 0.5794, 0.2619)  3 Sb 3.16, 3 Tl 3.42
Hg (0.4206, 0.4206, 0.7381)  3 Sb 3.16, 3 Tl 3.42
Tl (0.1314, 0.1314, 0.6058)  4 Sb 3.20-3.34, 3 Hg 3.42
Tl (0.8686, 0.8686, 0.3942)  4 Sb 3.20-3.34, 3 Hg 3.42
Sb (0.2391, 0.2391, 0.2828)  3 Hg 3.16, 4 Tl 3.20-3.34

Below is a relaxed Cs2Tl4Hg3Sb crystal, with properties calculated at the PBE-GGA level.

Calculated values
V   375 Å³ per cell
Space-group type   P-4m2 (115)
Raw formation energy   -0.15 eV/atom
M_tot   0.0 Bohr magnetons per cell
Energy   -1.773 eV/atom

Unit cell a=5.3948 b=5.3948 c=12.8963 alpha=90.00 beta=90.00 gamma=90.00
Closest atoms and distances in Å follow each position.
Positions (direct):
Sb (0.5000, 0.5000, 0.5000)  4 Tl 3.17
Hg (0.0000, 0.5000, 0.1238)  5 Tl 3.13-3.19
Cs (0.0000, 0.5000, 0.7413)  8 Tl 4.08-4.29, 6 Hg 4.12-4.19, 2 Sb 4.12
Tl (0.5000, 0.5000, 0.0000)  4 Hg 3.13
Hg (0.5000, 0.0000, 0.8762)  5 Tl 3.13-3.19
Hg (0.0000, 0.0000, 0.5000)  4 Tl 3.17
Tl (0.5000, 0.0000, 0.6290)  3 Hg 3.17-3.19, 2 Sb 3.17
Tl (0.0000, 0.5000, 0.3710)  3 Hg 3.17-3.19, 2 Sb 3.17
Tl (0.0000, 0.0000, 0.0000)  4 Hg 3.13
Cs (0.5000, 0.0000, 0.2587)  8 Tl 4.08-4.29, 6 Hg 4.12-4.19, 2 Sb 4.12